# 1
BeCdW3: relaxed, PBE.

Results
Fermi-level density of states: 2.16 states/eV per atom
Energy of formation: 16.741 eV per formula unit
Energy relative to the lowest polymorph listed for this composition: 2383 meV per atom
Crystal system: cubic
Magnetization: 0.0 μB/f.u.

Cell lengths 4.825, 4.825, 4.825 Å; angles 90.00, 90.00, 90.00 degrees
Space group Pm-3m (No. 221)
Inequivalent atoms, fractional coordinates:
Be: 0.000 0.000 0.000 [1 per cell]
Cd: 0.500 0.500 0.500 [1 per cell]
W: 0.000 0.500 0.500 [3 per cell]

---

# 2
BeCd2W2: relaxed, PBE.

Results
Fermi-level density of states: 0.78 states/eV per atom
Energy of formation: 3.819 eV per formula unit
Energy relative to the lowest polymorph listed for this composition: 0 meV per atom
Crystal system: tetragonal
Magnetization: 0.0 μB/f.u.

Cell lengths 6.072, 6.072, 4.738 Å; angles 90.00, 90.00, 90.00 degrees
Space group P4/mbm (No. 127)
Inequivalent atoms, fractional coordinates:
Be: 0.000 0.000 0.000 [2 per cell]
Cd: 0.167 0.333 0.500 [4 per cell]
W: 0.151 0.651 0.000 [4 per cell]